# 1
{
  "formula": "Fe3BiAs",
  "functional": "PBE",
  "state": "optimized geometry",
  "lattice": [[-1.8125, -2.6096, 3.7428], [4.3644, 0.1826, 2.2409], [-1.3304, 4.1545, 2.2524]],
  "species": ["As", "Fe", "Fe", "Fe", "Bi"],
  "frac_coords": [[0.5000, 0.5000, 0.5000], [0.0000, 0.0000, 0.5000], [0.5000, 0.0000, 0.0000], [0.0000, 0.5000, 0.0000], [0.0000, 0.0000, 0.0000]],
  "crystal_system": "cubic",
  "dft_energy_ev_per_atom": -5.1380,
  "e_above_lowest_polymorph_mev_per_atom": 1067.8,
  "sg": "Pm-3m",
  "ef_kj_per_mol_fu": 794
}

***

# 2
{
  "formula": "FeBiAs2",
  "functional": "PBE",
  "state": "optimized geometry",
  "lattice": [[5.9073, 0.0000, 0.0000], [0.0000, 5.9073, 0.0000], [2.9536, 2.9536, 5.8932]],
  "species": ["As", "Fe", "Bi", "As", "Bi", "Fe", "As", "As"],
  "frac_coords": [[0.5420, 0.1250, 0.2500], [0.2500, 0.7500, 0.5000], [0.7500, 0.2500, 0.5000], [0.8750, 0.7920, 0.7500], [0.0000, 0.0000, 0.0000], [0.5000, 0.5000, 0.0000], [0.2080, 0.6250, 0.2500], [0.3750, 0.4580, 0.7500]],
  "crystal_system": "tetragonal",
  "dft_energy_ev_per_atom": -5.2191,
  "sg": "I-42d",
  "ef_kj_per_mol_fu": 74
}

***

# 3
{
  "formula": "GaFeBiAs2",
  "functional": "PBE",
  "state": "optimized geometry",
  "lattice": [[4.4186, 0.0000, 0.0000], [0.0000, 5.8241, 0.0000], [0.0000, 0.0000, 4.4186]],
  "species": ["Bi", "Ga", "As", "Fe", "As"],
  "frac_coords": [[0.0000, 0.5000, 0.0000], [0.5000, 0.5000, 0.5000], [0.5000, 0.0000, 0.0000], [0.0000, 0.0000, 0.0000], [0.0000, 0.0000, 0.5000]],
  "crystal_system": "tetragonal",
  "dft_energy_ev_per_atom": -4.6368,
  "sg": "P4/mmm",
  "ef_kj_per_mol_fu": 143
}

***

# 4
{
  "formula": "Fe2BiAsH",
  "functional": "PBE",
  "state": "optimized geometry",
  "lattice": [[4.4478, 0.0000, 0.0000], [0.0000, 4.4478, 0.0000], [0.0000, 0.0000, 5.7485]],
  "species": ["Fe", "Bi", "As", "H", "Fe"],
  "frac_coords": [[0.0000, 0.5000, 0.0000], [0.0000, 0.0000, 0.5000], [0.0000, 0.0000, 0.0000], [0.5000, 0.5000, 0.5000], [0.5000, 0.0000, 0.0000]],
  "crystal_system": "tetragonal",
  "dft_energy_ev_per_atom": -4.6254,
  "sg": "P4/mmm"
}

***

# 5
{
  "formula": "LiFe2BiAs",
  "functional": "PBE",
  "state": "optimized geometry",
  "lattice": [[-3.5331, 2.4878, 1.2236], [-1.7206, 0.2627, -5.5023], [-2.4276, -3.7334, 0.5809]],
  "species": ["As", "Fe", "Bi", "Li", "Fe"],
  "frac_coords": [[0.0000, 0.0000, 0.0000], [0.5000, 0.0000, 0.0000], [0.0000, 0.5000, 0.0000], [0.5000, 0.5000, 0.5000], [0.0000, 0.0000, 0.5000]],
  "crystal_system": "tetragonal",
  "dft_energy_ev_per_atom": -4.9034,
  "sg": "P4/mmm",
  "ef_kj_per_mol_fu": 275
}

***

# 6
{
  "formula": "Na2FeBiAs",
  "functional": "PBE",
  "state": "optimized geometry",
  "lattice": [[5.4550, 0.0000, 0.0000], [0.0000, 4.4972, 0.0000], [0.0000, 0.0000, 5.4550]],
  "species": ["Bi", "Na", "Fe", "Na", "As"],
  "frac_coords": [[0.5000, 0.5000, 0.5000], [0.0000, 0.0000, 0.5000], [0.0000, 0.5000, 0.0000], [0.5000, 0.0000, 0.0000], [0.0000, 0.0000, 0.0000]],
  "crystal_system": "tetragonal",
  "dft_energy_ev_per_atom": -3.6948,
  "sg": "P4/mmm",
  "ef_kj_per_mol_fu": 112
}